1.
# ReTe2Br

An optimized crystal structure of ReTe2Br (GGA-PBE, the Alexandria database).

The structure in extended XYZ format:
```
4
Lattice="5.2013 0.0000 0.0000 0.0000 5.2013 0.0000 0.0000 0.0000 3.2069" Properties=species:S:1:pos:R:3 pbc="T T T"
Re 0.0000 0.0000 0.0000
Te 0.0000 2.6006 1.6035
Te 2.6006 0.0000 1.6035
Br 2.6006 2.6006 0.0000
```

## Properties
- Symmetry: No. 123
- Excess energy over the best structure of this formula in the dataset: 106.1 kJ/mol of atoms
- Formation energy without anion corrections: 1.06 eV/atom
- Electronic total energy: -16.17 eV/cell

---

2.
# La2HoEr3Te6

An optimized crystal structure of La2HoEr3Te6 (GGA-PBE, the Alexandria database).

The structure in extended XYZ format:
```
12
Lattice="9.6470 -2.1854 0.0000 9.6470 2.1854 0.0000 -2.1838 0.0000 8.6317" Properties=species:S:1:pos:R:3 pbc="T T T"
La 2.5032 0.0000 2.8842
La 14.6070 0.0000 5.7475
Ho 9.6470 0.0000 0.0000
Er 1.4951 0.0000 7.2066
Er 8.5551 0.0000 4.3158
Er 15.6151 0.0000 1.4251
Te -1.5216 0.0000 6.4933
Te 4.4417 0.0000 8.0443
Te 5.6459 0.0000 3.5046
Te 11.4644 0.0000 5.1270
Te 12.6685 0.0000 0.5874
Te 18.6319 0.0000 2.1384
```

## Properties
- Symmetry: No. 12
- Formation energy without anion corrections: -1.35 eV/atom
- Electronic total energy: -63.12 eV/cell

---

3.
# Pm3Er12Al

An optimized crystal structure of Pm3Er12Al (GGA-PBE, the Alexandria database).

The structure in extended XYZ format:
```
16
Lattice="4.9228 0.0000 0.0000 0.0000 4.9228 0.0000 0.0000 0.0000 19.9229" Properties=species:S:1:pos:R:3 pbc="T T T"
Pm 0.0000 0.0000 0.0000
Pm 0.0000 0.0000 5.0560
Pm 0.0000 0.0000 14.8668
Er 0.0000 2.4614 2.5507
Er 0.0000 2.4614 7.6505
Er 0.0000 2.4614 12.2724
Er 0.0000 2.4614 17.3721
Er 2.4614 0.0000 2.5507
Er 2.4614 0.0000 7.6505
Er 2.4614 0.0000 12.2724
Er 2.4614 0.0000 17.3721
Er 2.4614 2.4614 0.0000
Er 2.4614 2.4614 5.1529
Er 2.4614 2.4614 9.9614
Er 2.4614 2.4614 14.7700
Al 0.0000 0.0000 9.9614
```

## Properties
- Symmetry: No. 123
- Electronic total energy: -72.97 eV/cell

---

4.
# HfMg2Cu2

An optimized crystal structure of HfMg2Cu2 (GGA-PBE, the Alexandria database).

The structure in extended XYZ format:
```
10
Lattice="7.7691 0.0000 0.0000 0.0000 7.7691 0.0000 0.0000 0.0000 2.7881" Properties=species:S:1:pos:R:3 pbc="T T T"
Hf 0.0000 0.0000 0.0000
Hf 3.8845 3.8845 0.0000
Mg 0.9912 2.8933 0.0000
Mg 2.8933 6.7778 0.0000
Mg 4.8758 0.9912 0.0000
Mg 6.7778 4.8758 0.0000
Cu 1.3353 5.2198 1.3941
Cu 2.5492 1.3353 1.3941
Cu 5.2198 6.4338 1.3941
Cu 6.4338 2.5492 1.3941
```

## Properties
- Symmetry: No. 127
- Excess energy over the best structure of this formula in the dataset: 2.8 kJ/mol of atoms
- Electronic total energy: -41.89 eV/cell

---

5.
# Tc2PtCl

An optimized crystal structure of Tc2PtCl (GGA-PBE, the Alexandria database).

The structure in extended XYZ format:
```
4
Lattice="2.9045 0.0000 0.0000 0.0000 3.7326 0.0000 0.0000 0.0000 6.2078" Properties=species:S:1:pos:R:3 pbc="T T T"
Tc 0.0000 0.0000 1.2437
Tc 0.0000 0.0000 4.9640
Pt 1.4523 1.8663 0.0000
Cl 0.0000 1.8663 3.1039
```

## Properties
- Symmetry: No. 47
- Excess energy over the best structure of this formula in the dataset: 19.7 kJ/mol of atoms
- Formation energy without anion corrections: 0.32 eV/atom
- Electronic total energy: -27.33 eV/cell

---

6.
# MgMn2Cu

An optimized crystal structure of MgMn2Cu (GGA-PBE, the Alexandria database).

The structure in extended XYZ format:
```
4
Lattice="2.6439 -4.4572 0.0000 2.6439 4.4572 0.0000 -1.0438 0.0000 2.4980" Properties=species:S:1:pos:R:3 pbc="T T T"
Mg 0.0000 0.0000 0.0000
Mn 0.8001 2.2286 1.2490
Mn 0.8001 -2.2286 1.2490
Cu 2.6439 0.0000 0.0000
```

## Properties
- Symmetry: No. 12
- Electronic total energy: -22.69 eV/cell